# 1
Density functional theory data (PBE) for an optimized crystal structure of BaTl2SbPb.

## Properties
* space-group type: P4/mmm (123)
* formation energy without anion corrections: 0.023 eV per atom

Unit cell a=5.864 b=6.141 c=5.864 alpha=90.00 beta=90.00 gamma=90.00
Atoms (fractional coordinates):
1 Tl 0.000 0.000 0.500
2 Tl 0.500 0.000 0.000
3 Sb 0.000 0.500 0.000
4 Ba 0.500 0.500 0.500
5 Pb 0.000 0.000 0.000

=====

# 2
Density functional theory data (PBE) for an optimized crystal structure of Ba2ScPb.

## Properties
* space-group type: I-42d (122)
* ΔE_f: 207.4 meV per atom

Unit cell a=9.759 b=9.759 c=7.686 alpha=50.59 beta=50.59 gamma=90.00
Atoms (fractional coordinates):
1 Ba 0.104 0.625 0.250
2 Ba 0.646 0.125 0.250
3 Ba 0.375 0.354 0.750
4 Ba 0.875 0.896 0.750
5 Pb 0.750 0.250 0.500
6 Pb 0.000 0.000 0.000
7 Sc 0.250 0.750 0.500
8 Sc 0.500 0.500 0.000

=====

# 3
Density functional theory data (PBE) for an optimized crystal structure of Ba2ScPb.

## Properties
* space-group type: P4mm (99)
* ΔE_f: -125.6 meV per atom

Unit cell a=4.116 b=4.116 c=9.904 alpha=90.00 beta=90.00 gamma=90.00
Atoms (fractional coordinates):
1 Ba 0.500 0.500 0.317
2 Ba 0.000 0.000 0.943
3 Pb 0.000 0.000 0.571
4 Sc 0.500 0.500 0.668

=====

| no. | density of states at the Fermi level (states/eV per cell) | calculated total energy (eV per atom) |
| --- | --- | --- |
| 1 | 3.0 | -2.8742 |
| 2 | 15.5 | -3.2640 |
| 3 | 5.0 | -3.5970 |